(1)
A relaxed Mg2Cd6In crystal, computed with PBE.

Properties
DOS at the Fermi energy in states/eV per cell: 5.51
DFT formation energy in eV per atom: -0.02
Energy above the lowest structure with this stoichiometry in meV/atom: 0

Lattice parameters (Å, degrees): 15.3832 8.5252 3.2681 90.00 101.51 90.00
With the nearest neighbours (Å) after each atom.
Space group C2/m (No. 12)
Symmetry-distinct sites (fractional):
Mg1 0.1472 0.0000 0.1447 (multiplicity 4)  10 Cd 3.06-3.27, 2 Mg 3.27
Cd1 0.0000 0.1722 0.5000 (multiplicity 4)  5 Cd 2.94-3.27, 4 Mg 3.11-3.13, 2 In 3.24
Cd2 0.1752 0.3258 0.6799 (multiplicity 8)  6 Cd 2.95-3.27, 3 Mg 3.06-3.27
In1 0.0000 0.5000 0.0000 (multiplicity 2)  12 Cd 3.24-3.47, 2 In 3.27

=====

(2)
A relaxed Ba4CdRh2 crystal, computed with PBE.

Properties
DOS at the Fermi energy in states/eV per cell: 21.41
DFT formation energy in eV per atom: -0.17

Lattice parameters (Å, degrees): 13.1412 9.5226 8.8826 90.00 109.14 90.00
With the nearest neighbours (Å) after each atom.
Space group Cm (No. 8)
Symmetry-distinct sites (fractional):
Ba1 0.0000 0.0000 0.0000 (multiplicity 2)  2 Rh 3.24, 2 Cd 3.35-3.54
Ba2 0.0021 0.0000 0.5301 (multiplicity 2)  3 Rh 3.29-3.34, 2 Cd 3.40-3.54
Ba3 0.0149 0.5000 0.0193 (multiplicity 2)  3 Rh 3.12-3.35
Ba4 0.0261 0.5000 0.5285 (multiplicity 2)  2 Rh 3.06-3.40
Ba5 0.2759 0.2812 0.1529 (multiplicity 4)  3 Rh 3.11-3.24
Ba6 0.2906 0.2713 0.6603 (multiplicity 4)  3 Rh 3.16-3.42
Cd1 0.2144 0.0000 0.3674 (multiplicity 2)  7 Ba 3.53-3.87
Cd2 0.2142 0.0000 0.8748 (multiplicity 2)  2 Rh 2.82
Rh1 0.0847 0.2434 0.8148 (multiplicity 4)  1 Rh 2.80, 1 Cd 2.82
Rh2 0.1948 0.5000 0.8610 (multiplicity 2)  2 Rh 2.80, 2 Ba 3.06-3.12
Rh3 0.2372 0.5000 0.3876 (multiplicity 2)  6 Ba 3.11-3.40

=====

(3)
A relaxed CdSb2As crystal, computed with PBE.

Properties
Formation energy without anion corrections in meV/atom: 264
DOS at the Fermi energy in states/eV per cell: 2.89
Energy above the lowest structure with this stoichiometry in meV/atom: 221

Lattice parameters (Å, degrees): 3.8520 5.2775 9.7544 90.00 90.00 90.00
With the nearest neighbours (Å) after each atom.
Space group Cmmm (No. 65)
Symmetry-distinct sites (fractional):
Cd1 0.0000 0.0000 0.0000 (multiplicity 2)  4 Sb 3.25, 4 Cd 3.27
Sb1 0.0000 0.5000 0.2689 (multiplicity 4)  2 As 2.96, 2 Cd 3.25, 4 Sb 3.27
As1 0.0000 0.0000 0.5000 (multiplicity 2)  4 Sb 2.96, 4 As 3.27

=====

(4)
A relaxed Na3Sm3SiS8 crystal, computed with PBE.

Properties
Formation energy without anion corrections in meV/atom: -1475

Lattice parameters (Å, degrees): 7.9307 7.9307 20.1878 90.00 90.00 120.00
With the nearest neighbours (Å) after each atom.
Space group R-3m (No. 166, hexagonal axes)
Symmetry-distinct sites (fractional):
Na1 0.0000 0.5000 0.0000 (multiplicity 9)  6 S 2.92
Sm1 0.0000 0.5000 0.5000 (multiplicity 9)  6 S 2.77-2.83
Si1 0.0000 0.0000 0.5000 (multiplicity 3)  6 S 2.40
S1 0.0000 0.0000 0.2439 (multiplicity 6)  3 Sm 2.77, 3 Na 2.92
S2 0.0478 0.5239 0.2351 (multiplicity 18)  1 Si 2.40

=====

(5)
A relaxed TbCeLuAl crystal, computed with PBE.

Properties
DOS at the Fermi energy in states/eV per cell: 31.42
DFT formation energy in eV per atom: -0.05

Lattice parameters (Å, degrees): 7.5065 7.5065 7.5065 90.00 90.00 90.00
With the nearest neighbours (Å) after each atom.
Space group F-43m (No. 216)
Symmetry-distinct sites (fractional):
Tb1 0.0000 0.0000 0.0000 (multiplicity 4)  4 Lu 3.25, 4 Al 3.25
Ce1 0.0000 0.0000 0.5000 (multiplicity 4)  4 Al 3.25, 4 Lu 3.25
Lu1 0.2500 0.2500 0.7500 (multiplicity 4)  4 Tb 3.25, 4 Ce 3.25
Al1 0.2500 0.2500 0.2500 (multiplicity 4)  4 Tb 3.25, 4 Ce 3.25

=====

(6)
A relaxed Ti3VC crystal, computed with PBE.

Properties
DOS at the Fermi energy in states/eV per cell: 6.92
DFT formation energy in eV per atom: 1.76
Energy above the lowest structure with this stoichiometry in meV/atom: 1953

Lattice parameters (Å, degrees): 4.4241 4.4241 4.4241 90.00 90.00 90.00
With the nearest neighbours (Å) after each atom.
Space group Pm-3m (No. 221)
Symmetry-distinct sites (fractional):
Ti1 0.0000 0.0000 0.5000 (multiplicity 3)  2 V 2.21
V1 0.0000 0.0000 0.0000 (multiplicity 1)  6 Ti 2.21
C1 0.5000 0.5000 0.5000 (multiplicity 1)  12 Ti 3.13

=====

(7)
A relaxed Sc2MnHg crystal, computed with PBE.

Properties
DOS at the Fermi energy in states/eV per cell: 5.95
DFT formation energy in eV per atom: -0.11

Lattice parameters (Å, degrees): 4.8129 4.8129 3.4818 90.00 90.00 90.00
With the nearest neighbours (Å) after each atom.
Space group P4/mmm (No. 123)
Symmetry-distinct sites (fractional):
Sc1 0.0000 0.5000 0.0000 (multiplicity 2)  4 Hg 2.97, 4 Mn 2.97
Mn1 0.0000 0.0000 0.5000 (multiplicity 1)  8 Sc 2.97
Hg1 0.5000 0.5000 0.5000 (multiplicity 1)  8 Sc 2.97

=====

(8)
A relaxed Sc3Mn5 crystal, computed with PBE.

Properties
DOS at the Fermi energy in states/eV per cell: 17.45
DFT formation energy in eV per atom: 0.19
Energy above the lowest structure with this stoichiometry in meV/atom: 60

Lattice parameters (Å, degrees): 7.6364 8.2437 4.1389 90.00 90.00 90.00
With the nearest neighbours (Å) after each atom.
Space group Cmmm (No. 65)
Symmetry-distinct sites (fractional):
Sc1 0.0000 0.0000 0.0000 (multiplicity 2)  8 Mn 2.80-2.81, 4 Sc 3.06
Sc2 0.0000 0.2737 0.5000 (multiplicity 4)  10 Mn 2.69-2.94
Mn1 0.0000 0.5000 0.0000 (multiplicity 2)  4 Sc 2.79, 8 Mn 2.81-2.84
Mn2 0.2461 0.0000 0.5000 (multiplicity 4)  6 Sc 2.69-2.94, 6 Mn 2.84-2.92
Mn3 0.2500 0.2500 0.0000 (multiplicity 4)  6 Sc 2.81-2.82, 6 Mn 2.81-2.92